## P
Computed, not measured: a relaxed structure of NaRhI3 at the GGA-PBE level of DFT. Values from VASP.

Geometry as Quantum ESPRESSO input:
```
&SYSTEM
  ibrav = 0, nat = 5, ntyp = 3
/
ATOMIC_SPECIES
Na 22.99 Na.upf
Rh 102.91 Rh.upf
I 126.90 I.upf
ATOMIC_POSITIONS angstrom
Na 0.000 0.000 0.000
Rh 2.902 2.902 2.902
I 0.000 0.000 2.902
I 0.000 2.902 0.000
I 2.902 0.000 0.000
CELL_PARAMETERS angstrom
5.805 0.000 0.000
0.000 5.805 0.000
0.000 0.000 5.805
```


## Q
Computed, not measured: a relaxed structure of NaRhI3 at the GGA-PBE level of DFT. Values from VASP.

Geometry as Quantum ESPRESSO input:
```
&SYSTEM
  ibrav = 0, nat = 5, ntyp = 3
/
ATOMIC_SPECIES
Na 22.99 Na.upf
Rh 102.91 Rh.upf
I 126.90 I.upf
ATOMIC_POSITIONS angstrom
Na 0.000 0.000 0.000
Rh 2.752 2.752 2.752
I 0.000 2.752 2.752
I 2.752 0.000 2.752
I 2.752 2.752 0.000
CELL_PARAMETERS angstrom
5.503 0.000 0.000
0.000 5.503 0.000
0.000 0.000 5.503
```


Top of the stability list: Q, leading by 932 meV per atom.


## P
Computed, not measured: a relaxed structure of Na2Rh2I at the GGA-PBE level of DFT. Values from VASP.

Geometry as Quantum ESPRESSO input:
```
&SYSTEM
  ibrav = 0, nat = 5, ntyp = 3
/
ATOMIC_SPECIES
Na 22.99 Na.upf
Rh 102.91 Rh.upf
I 126.90 I.upf
ATOMIC_POSITIONS angstrom
Na 1.845 0.000 3.687
Na 0.000 1.845 3.687
Rh 0.000 0.000 1.359
Rh 0.000 0.000 13.389
I 0.000 0.000 7.374
CELL_PARAMETERS angstrom
-1.845 1.845 7.374
1.845 -1.845 7.374
1.845 1.845 -7.374
```


## Q
Computed, not measured: a relaxed structure of Na2Rh2I at the GGA-PBE level of DFT. Values from VASP.

Geometry as Quantum ESPRESSO input:
```
&SYSTEM
  ibrav = 0, nat = 10, ntyp = 3
/
ATOMIC_SPECIES
Na 22.99 Na.upf
Rh 102.91 Rh.upf
I 126.90 I.upf
ATOMIC_POSITIONS angstrom
Na 1.087 2.272 0.000
Na 2.272 5.631 0.000
Na 4.446 1.087 0.000
Na 5.631 4.446 0.000
Rh 0.961 4.319 2.392
Rh 2.398 0.961 2.392
Rh 4.319 5.757 2.392
Rh 5.757 2.398 2.392
I 0.000 0.000 2.392
I 3.359 3.359 2.392
CELL_PARAMETERS angstrom
6.718 0.000 0.000
0.000 6.718 0.000
0.000 0.000 4.785
```


Top of the stability list: Q, leading by 484 meV per atom.


## P
Computed, not measured: a relaxed structure of NaSb2RhI at the GGA-PBE level of DFT. Values from VASP.

Geometry as Quantum ESPRESSO input:
```
&SYSTEM
  ibrav = 0, nat = 5, ntyp = 4
/
ATOMIC_SPECIES
Na 22.99 Na.upf
Sb 121.76 Sb.upf
Rh 102.91 Rh.upf
I 126.90 I.upf
ATOMIC_POSITIONS angstrom
Na 0.000 0.000 0.000
Sb 0.000 2.656 0.000
Sb 2.656 0.000 0.000
Rh 2.656 2.656 2.747
I 0.000 0.000 2.747
CELL_PARAMETERS angstrom
5.312 0.000 0.000
0.000 5.312 0.000
0.000 0.000 5.494
```


## Q
Computed, not measured: a relaxed structure of NaSb2RhI at the GGA-PBE level of DFT. Values from VASP.

Geometry as Quantum ESPRESSO input:
```
&SYSTEM
  ibrav = 0, nat = 5, ntyp = 4
/
ATOMIC_SPECIES
Na 22.99 Na.upf
Sb 121.76 Sb.upf
Rh 102.91 Rh.upf
I 126.90 I.upf
ATOMIC_POSITIONS angstrom
Na 0.000 0.000 0.000
Sb 0.000 2.536 3.173
Sb 2.536 0.000 3.173
Rh 2.536 2.536 3.173
I 2.536 2.536 0.000
CELL_PARAMETERS angstrom
5.071 0.000 0.000
0.000 5.071 0.000
0.000 0.000 6.347
```


Top of the stability list: Q, leading by 1211 meV per atom.


## P
Computed, not measured: a relaxed structure of NaSbRhI2 at the GGA-PBE level of DFT. Values from VASP.

Geometry as Quantum ESPRESSO input:
```
&SYSTEM
  ibrav = 0, nat = 5, ntyp = 4
/
ATOMIC_SPECIES
Na 22.99 Na.upf
Sb 121.76 Sb.upf
Rh 102.91 Rh.upf
I 126.90 I.upf
ATOMIC_POSITIONS angstrom
Na 0.000 0.000 0.000
Sb 2.894 2.894 0.000
Rh 2.894 2.894 2.484
I 0.000 2.894 2.484
I 2.894 0.000 2.484
CELL_PARAMETERS angstrom
5.788 0.000 0.000
0.000 5.788 0.000
0.000 0.000 4.968
```


## Q
Computed, not measured: a relaxed structure of NaSbRhI2 at the GGA-PBE level of DFT. Values from VASP.

Geometry as Quantum ESPRESSO input:
```
&SYSTEM
  ibrav = 0, nat = 5, ntyp = 4
/
ATOMIC_SPECIES
Na 22.99 Na.upf
Sb 121.76 Sb.upf
Rh 102.91 Rh.upf
I 126.90 I.upf
ATOMIC_POSITIONS angstrom
Na 0.000 0.000 0.000
Sb 0.000 0.000 2.826
Rh 2.798 2.798 2.826
I 0.000 2.798 0.000
I 2.798 0.000 0.000
CELL_PARAMETERS angstrom
5.597 0.000 0.000
0.000 5.597 0.000
0.000 0.000 5.651
```


Top of the stability list: P, leading by 1150 meV per atom.


## P
Computed, not measured: a relaxed structure of NaRuI2 at the GGA-PBE level of DFT. Values from VASP.

Geometry as Quantum ESPRESSO input:
```
&SYSTEM
  ibrav = 0, nat = 8, ntyp = 3
/
ATOMIC_SPECIES
Na 22.99 Na.upf
Ru 101.07 Ru.upf
I 126.90 I.upf
ATOMIC_POSITIONS angstrom
Na 0.000 0.000 0.000
Na 0.000 3.292 3.251
Ru 3.292 0.000 3.251
Ru 0.000 0.000 6.503
I 1.646 -1.223 4.877
I 2.069 1.646 1.626
I 1.646 4.516 -1.626
I 1.223 1.646 8.128
CELL_PARAMETERS angstrom
-3.292 3.292 6.503
3.292 -3.292 6.503
3.292 3.292 -6.503
```


## Q
Computed, not measured: a relaxed structure of NaRuI2 at the GGA-PBE level of DFT. Values from VASP.

Geometry as Quantum ESPRESSO input:
```
&SYSTEM
  ibrav = 0, nat = 4, ntyp = 3
/
ATOMIC_SPECIES
Na 22.99 Na.upf
Ru 101.07 Ru.upf
I 126.90 I.upf
ATOMIC_POSITIONS angstrom
Na 0.000 0.000 0.000
Ru 3.750 3.750 3.750
I 1.875 1.875 1.875
I 5.625 5.625 5.625
CELL_PARAMETERS angstrom
0.000 3.750 3.750
3.750 0.000 3.750
3.750 3.750 0.000
```


Top of the stability list: P, leading by 201 meV per atom.


## P
Computed, not measured: a relaxed structure of Na2RuI at the GGA-PBE level of DFT. Values from VASP.

Geometry as Quantum ESPRESSO input:
```
&SYSTEM
  ibrav = 0, nat = 8, ntyp = 3
/
ATOMIC_SPECIES
Na 22.99 Na.upf
Ru 101.07 Ru.upf
I 126.90 I.upf
ATOMIC_POSITIONS angstrom
Na -0.043 2.840 0.617
Na 2.840 5.637 1.851
Na 0.043 8.520 0.617
Na -2.840 5.722 1.851
Ru 0.000 0.000 0.000
Ru 0.000 5.680 1.234
I 5.680 0.000 1.234
I 0.000 0.000 2.468
CELL_PARAMETERS angstrom
-5.680 5.680 2.468
5.680 -5.680 2.468
5.680 5.680 -2.468
```


## Q
Computed, not measured: a relaxed structure of Na2RuI at the GGA-PBE level of DFT. Values from VASP.

Geometry as Quantum ESPRESSO input:
```
&SYSTEM
  ibrav = 0, nat = 4, ntyp = 3
/
ATOMIC_SPECIES
Na 22.99 Na.upf
Ru 101.07 Ru.upf
I 126.90 I.upf
ATOMIC_POSITIONS angstrom
Na 1.868 1.868 1.868
Na 5.603 5.603 5.603
Ru 0.000 0.000 0.000
I 3.735 3.735 3.735
CELL_PARAMETERS angstrom
0.000 3.735 3.735
3.735 0.000 3.735
3.735 3.735 0.000
```


Top of the stability list: P, leading by 213 meV per atom.


## P
Computed, not measured: a relaxed structure of NaSb2RuI at the GGA-PBE level of DFT. Values from VASP.

Geometry as Quantum ESPRESSO input:
```
&SYSTEM
  ibrav = 0, nat = 5, ntyp = 4
/
ATOMIC_SPECIES
Na 22.99 Na.upf
Sb 121.76 Sb.upf
Ru 101.07 Ru.upf
I 126.90 I.upf
ATOMIC_POSITIONS angstrom
Na 0.000 0.000 0.000
Sb 0.000 2.524 3.105
Sb 2.524 0.000 3.105
Ru 2.524 2.524 3.105
I 2.524 2.524 0.000
CELL_PARAMETERS angstrom
5.048 0.000 0.000
0.000 5.048 0.000
0.000 0.000 6.210
```


## Q
Computed, not measured: a relaxed structure of NaSb2RuI at the GGA-PBE level of DFT. Values from VASP.

Geometry as Quantum ESPRESSO input:
```
&SYSTEM
  ibrav = 0, nat = 5, ntyp = 4
/
ATOMIC_SPECIES
Na 22.99 Na.upf
Sb 121.76 Sb.upf
Ru 101.07 Ru.upf
I 126.90 I.upf
ATOMIC_POSITIONS angstrom
Na 0.000 0.000 0.000
Sb 0.000 2.694 0.000
Sb 2.694 0.000 0.000
Ru 2.694 2.694 2.767
I 0.000 0.000 2.767
CELL_PARAMETERS angstrom
5.387 0.000 0.000
0.000 5.387 0.000
0.000 0.000 5.534
```


Top of the stability list: P, leading by 1323 meV per atom.


## P
Computed, not measured: a relaxed structure of NaSI at the GGA-PBE level of DFT. Values from VASP.

Geometry as Quantum ESPRESSO input:
```
&SYSTEM
  ibrav = 0, nat = 12, ntyp = 3
/
ATOMIC_SPECIES
Na 22.99 Na.upf
S 32.06 S.upf
I 126.90 I.upf
ATOMIC_POSITIONS angstrom
Na 2.047 0.233 0.000
Na 2.047 5.162 4.052
Na 6.275 0.233 0.000
Na 6.275 5.162 4.052
S 0.000 0.100 2.093
S 0.000 5.294 6.145
S 4.161 0.928 5.579
S 4.161 4.466 1.527
I 0.000 2.294 5.481
I 0.000 3.101 1.429
I 4.161 2.642 3.606
I 4.161 2.752 7.658
CELL_PARAMETERS angstrom
8.322 0.000 0.000
0.000 5.394 0.000
0.000 0.000 8.104
```


## Q
Computed, not measured: a relaxed structure of NaSI at the GGA-PBE level of DFT. Values from VASP.

Geometry as Quantum ESPRESSO input:
```
&SYSTEM
  ibrav = 0, nat = 6, ntyp = 3
/
ATOMIC_SPECIES
Na 22.99 Na.upf
S 32.06 S.upf
I 126.90 I.upf
ATOMIC_POSITIONS angstrom
Na 0.004 0.000 3.952
Na 3.208 0.000 6.884
S -2.492 0.000 10.196
S 5.704 0.000 0.639
I 0.011 0.000 7.153
I 3.201 0.000 3.683
CELL_PARAMETERS angstrom
3.205 -3.209 0.000
3.205 3.209 0.000
-3.199 0.000 10.836
```


Top of the stability list: Q, leading by 112 meV per atom.


## P
Computed, not measured: a relaxed structure of NaS2I at the GGA-PBE level of DFT. Values from VASP.

Geometry as Quantum ESPRESSO input:
```
&SYSTEM
  ibrav = 0, nat = 4, ntyp = 3
/
ATOMIC_SPECIES
Na 22.99 Na.upf
S 32.06 S.upf
I 126.90 I.upf
ATOMIC_POSITIONS angstrom
Na 0.000 0.000 0.000
S 0.000 0.000 2.639
S 0.000 0.000 19.861
I 0.000 0.000 11.250
CELL_PARAMETERS angstrom
2.305 1.331 7.500
-2.305 1.331 7.500
0.000 -2.661 7.500
```


## Q
Computed, not measured: a relaxed structure of NaS2I at the GGA-PBE level of DFT. Values from VASP.

Geometry as Quantum ESPRESSO input:
```
&SYSTEM
  ibrav = 0, nat = 4, ntyp = 3
/
ATOMIC_SPECIES
Na 22.99 Na.upf
S 32.06 S.upf
I 126.90 I.upf
ATOMIC_POSITIONS angstrom
Na 0.000 0.000 0.000
S 0.000 0.000 10.229
S 0.000 0.000 15.180
I 0.000 0.000 12.704
CELL_PARAMETERS angstrom
1.971 1.138 8.470
-1.971 1.138 8.470
0.000 -2.276 8.470
```


## R
Computed, not measured: a relaxed structure of NaS2I at the GGA-PBE level of DFT. Values from VASP.

Geometry as Quantum ESPRESSO input:
```
&SYSTEM
  ibrav = 0, nat = 8, ntyp = 3
/
ATOMIC_SPECIES
Na 22.99 Na.upf
S 32.06 S.upf
I 126.90 I.upf
ATOMIC_POSITIONS angstrom
Na 0.000 0.000 0.000
Na 0.000 2.893 3.824
S 1.446 -1.169 5.737
S 1.723 1.446 1.912
S 1.446 4.062 -1.912
S 1.169 1.446 9.561
I 2.893 0.000 3.824
I 0.000 0.000 7.649
CELL_PARAMETERS angstrom
-2.893 2.893 7.649
2.893 -2.893 7.649
2.893 2.893 -7.649
```


Top of the stability list: Q, leading by 54 meV per atom.


## P
Computed, not measured: a relaxed structure of Na4SI2 at the GGA-PBE level of DFT. Values from VASP.

Geometry as Quantum ESPRESSO input:
```
&SYSTEM
  ibrav = 0, nat = 7, ntyp = 3
/
ATOMIC_SPECIES
Na 22.99 Na.upf
S 32.06 S.upf
I 126.90 I.upf
ATOMIC_POSITIONS angstrom
Na 3.772 4.550 0.000
Na 1.698 0.000 2.208
Na 5.846 0.000 2.208
Na 3.772 -4.550 0.000
S 0.000 0.000 0.000
I 3.772 2.403 2.208
I 3.772 -2.403 2.208
CELL_PARAMETERS angstrom
3.772 -7.214 0.000
3.772 7.214 0.000
0.000 0.000 4.417
```


## Q
Computed, not measured: a relaxed structure of Na4SI2 at the GGA-PBE level of DFT. Values from VASP.

Geometry as Quantum ESPRESSO input:
```
&SYSTEM
  ibrav = 0, nat = 7, ntyp = 3
/
ATOMIC_SPECIES
Na 22.99 Na.upf
S 32.06 S.upf
I 126.90 I.upf
ATOMIC_POSITIONS angstrom
Na 2.633 0.000 0.000
Na 0.000 0.000 2.681
Na 0.000 2.633 0.000
Na 0.000 0.000 13.759
S 0.000 0.000 0.000
I 0.000 0.000 5.767
I 0.000 0.000 10.674
CELL_PARAMETERS angstrom
-2.633 2.633 8.220
2.633 -2.633 8.220
2.633 2.633 -8.220
```


Top of the stability list: Q, leading by 29 meV per atom.


## P
Computed, not measured: a relaxed structure of Na3SI at the GGA-PBE level of DFT. Values from VASP.

Geometry as Quantum ESPRESSO input:
```
&SYSTEM
  ibrav = 0, nat = 20, ntyp = 3
/
ATOMIC_SPECIES
Na 22.99 Na.upf
S 32.06 S.upf
I 126.90 I.upf
ATOMIC_POSITIONS angstrom
Na 0.191 2.639 0.570
Na 1.630 0.436 5.367
Na 1.630 4.842 5.367
Na 2.118 5.714 1.626
Na 2.118 10.120 1.626
Na 3.557 7.917 4.312
Na 3.938 2.639 3.171
Na 5.378 0.436 5.857
Na 5.378 4.842 5.857
Na 5.865 5.714 2.116
Na 5.865 10.120 2.116
Na 7.305 7.917 6.913
S 0.000 0.000 0.000
S 0.000 5.278 0.000
S 3.748 0.000 3.742
S 3.748 5.278 3.742
I 0.202 7.917 3.689
I 3.546 2.639 7.430
I 3.950 7.917 0.053
I 7.293 2.639 3.794
CELL_PARAMETERS angstrom
7.495 0.000 0.000
0.000 10.556 0.000
0.000 0.000 7.483
```


## Q
Computed, not measured: a relaxed structure of Na3SI at the GGA-PBE level of DFT. Values from VASP.

Geometry as Quantum ESPRESSO input:
```
&SYSTEM
  ibrav = 0, nat = 5, ntyp = 3
/
ATOMIC_SPECIES
Na 22.99 Na.upf
S 32.06 S.upf
I 126.90 I.upf
ATOMIC_POSITIONS angstrom
Na 0.000 0.000 2.816
Na 0.000 2.816 0.000
Na 2.816 0.000 0.000
S 2.816 2.816 2.816
I 0.000 0.000 0.000
CELL_PARAMETERS angstrom
5.633 0.000 0.000
0.000 5.633 0.000
0.000 0.000 5.633
```


Top of the stability list: P, leading by 616 meV per atom.


## P
Computed, not measured: a relaxed structure of Na3SI at the GGA-PBE level of DFT. Values from VASP.

Geometry as Quantum ESPRESSO input:
```
&SYSTEM
  ibrav = 0, nat = 5, ntyp = 3
/
ATOMIC_SPECIES
Na 22.99 Na.upf
S 32.06 S.upf
I 126.90 I.upf
ATOMIC_POSITIONS angstrom
Na 0.000 0.000 0.000
Na 2.601 0.000 2.432
Na 0.000 2.601 2.432
S 0.000 0.000 2.677
I 0.000 0.000 8.225
CELL_PARAMETERS angstrom
-2.601 2.601 8.143
2.601 -2.601 8.143
2.601 2.601 -8.143
```


## Q
Computed, not measured: a relaxed structure of Na3SI at the GGA-PBE level of DFT. Values from VASP.

Geometry as Quantum ESPRESSO input:
```
&SYSTEM
  ibrav = 0, nat = 5, ntyp = 3
/
ATOMIC_SPECIES
Na 22.99 Na.upf
S 32.06 S.upf
I 126.90 I.upf
ATOMIC_POSITIONS angstrom
Na 0.000 0.000 2.660
Na 0.000 2.660 0.000
Na 2.660 0.000 0.000
S 0.000 0.000 0.000
I 2.660 2.660 2.660
CELL_PARAMETERS angstrom
5.319 0.000 0.000
0.000 5.319 0.000
0.000 0.000 5.319
```


Top of the stability list: Q, leading by 146 meV per atom.